Material: SbWI2O
Method: DFT, PBE with a Hubbard U
State: relaxed

**Total energy**: -3.983 eV per atom
**Distance to the lowest polymorph of the same formula**: 0 meV per atom

Structure (POSCAR):
```
SbWI2O
1.0
6.028 0.000 0.000
0.000 6.028 0.000
0.000 0.000 3.869
Sb W I O
1 1 2 1
direct
0.000 0.000 0.000
0.500 0.500 0.500
0.000 0.500 0.500
0.500 0.000 0.500
0.500 0.500 0.000
```